First-principles (SCAN) data for a PBEsol-optimized structure of Cr2Re, as listed in the Alexandria database.

- energy relative to the elements (meV per atom) = -30

abc: 6.320 6.320 4.142
angles: 90.00 90.00 153.36
Fractional positions:
Cr 0.090 0.910 0.750
Cr 0.253 0.747 0.250
Cr 0.747 0.253 0.750
Cr 0.910 0.090 0.250
Re 0.416 0.584 0.750
Re 0.584 0.416 0.250